Material: PtBrN3
Method: DFT, PBE
State: relaxed

Summary:
ρ: 8.4 g/cm3
formation energy without anion corrections: 2.117 eV per atom
density of states at the Fermi level: 4.33 states/eV per cell
space-group type: Pm-3m, No. 221

Cell lengths 3.9763, 3.9763, 3.9763 Å; angles 90.00, 90.00, 90.00 degrees
Each line ends with the local moment (μB).
Element x y z (fractional)
Br (0.5000, 0.5000, 0.5000)  -0.01
Pt (0.0000, 0.0000, 0.0000)  0.18
N (0.0000, 0.5000, 0.0000)  0.42
N (0.5000, 0.0000, 0.0000)  0.47
N (0.0000, 0.0000, 0.5000)  0.32

Material: CoSn2TeI
Method: DFT, PBE
State: relaxed

Summary:
ρ: 4.3 g/cm3
formation energy without anion corrections: 1.195 eV per atom
density of states at the Fermi level: 5.05 states/eV per cell
space-group type: P4/mmm, No. 123

Cell lengths 5.9460, 5.9460, 6.0186 Å; angles 90.00, 90.00, 90.00 degrees
Each line ends with the local moment (μB).
Element x y z (fractional)
I (0.0000, 0.0000, 0.5000)  0.01
Sn (0.0000, 0.5000, 0.0000)  -0.07
Te (0.0000, 0.0000, 0.0000)  0.01
Sn (0.5000, 0.0000, 0.0000)  -0.07
Co (0.5000, 0.5000, 0.5000)  2.24

Material: NdDy2ErTh
Method: DFT, PBE
State: relaxed

Summary:
ρ: 8.3 g/cm3
density of states at the Fermi level: 18.06 states/eV per cell
energy of formation from the pure elements: 0.3243 eV per atom
space-group type: Pmmm, No. 47

Cell lengths 5.6386, 8.6879, 7.0734 Å; angles 90.05, 90.00, 90.00 degrees
Element x y z (fractional)
Dy (0.4999, 0.3219, 0.0004)
Dy (0.5001, 0.3219, 0.5004)
Th (0.5000, 0.0000, 0.7500)
Nd (0.0000, 0.0000, 0.5000)
Nd (0.0000, 0.0000, 0.0000)
Dy (0.5001, 0.6781, 0.9996)
Er (0.0001, 0.5000, 0.2500)
Er (0.9999, 0.5000, 0.7500)
Dy (0.4999, 0.6781, 0.4996)
Th (0.5000, 0.0000, 0.2500)

Material: Ce6Ga3Re
Method: DFT, PBE
State: relaxed

Summary:
ρ: 8.4 g/cm3
density of states at the Fermi level: 43.71 states/eV per cell
energy of formation from the pure elements: -0.1857 eV per atom
space-group type: R-3, No. 148

Cell lengths 7.9184, 7.9184, 7.9184 Å; angles 95.39, 95.39, 95.39 degrees
Each line ends with the local moment (μB).
Element x y z (fractional)
Ce (0.5805, 0.8461, 0.4867)  0.34
Ce (0.9181, 0.0110, 0.6533)  0.34
Ga (0.6744, 0.2503, 0.8276)  -0.01
Ga (0.7497, 0.1724, 0.3256)  -0.01
Ce (0.9890, 0.3467, 0.0819)  0.34
Re (0.0000, 0.0000, 0.0000)  -0.05
Ce (0.0819, 0.9890, 0.3467)  0.34
Re (0.5000, 0.5000, 0.5000)  -0.05
Ce (0.1539, 0.5133, 0.4195)  0.34
Ce (0.3467, 0.0819, 0.9890)  0.34
Ce (0.8461, 0.4867, 0.5805)  0.34
Ce (0.6533, 0.9181, 0.0110)  0.34
Ce (0.0110, 0.6533, 0.9181)  0.34
Ga (0.2503, 0.8276, 0.6744)  -0.01
Ga (0.3256, 0.7497, 0.1724)  -0.01
Ce (0.5133, 0.4195, 0.1539)  0.34
Ga (0.1724, 0.3256, 0.7497)  -0.01
Ga (0.8276, 0.6744, 0.2503)  -0.01
Ce (0.4867, 0.5805, 0.8461)  0.34
Ce (0.4195, 0.1539, 0.5133)  0.34

Material: YAl2Cu
Method: DFT, PBE
State: relaxed

Summary:
ρ: 4.4 g/cm3
density of states at the Fermi level: 2.00 states/eV per cell
energy of formation from the pure elements: -0.2374 eV per atom
space-group type: P2/m, No. 10

Cell lengths 4.3845, 3.4212, 5.3004 Å; angles 80.21, 90.00, 90.00 degrees
Element x y z (fractional)
Al (0.0000, 0.1463, 0.0218)
Cu (0.5000, 0.2500, 0.2500)
Al (0.0000, 0.3537, 0.4782)
Y (0.5000, 0.7500, 0.7500)

Material: Cd5GaHg5
Method: DFT, PBE
State: relaxed

Summary:
ρ: 10.0 g/cm3
density of states at the Fermi level: 3.86 states/eV per cell
energy of formation from the pure elements: 0.0394 eV per atom
space-group type: P-1, No. 2

Cell lengths 6.0074, 6.2134, 8.0246 Å; angles 110.28, 102.53, 94.42 degrees
Element x y z (fractional)
Hg (0.6380, 0.5426, 0.2157)
Cd (0.2365, 0.4441, 0.3696)
Cd (0.5000, 0.0000, 0.0000)
Hg (0.0000, 0.5000, 0.0000)
Hg (0.1553, 0.8994, 0.6380)
Cd (0.6832, 0.0710, 0.6873)
Hg (0.8447, 0.1006, 0.3620)
Cd (0.3168, 0.9290, 0.3127)
Hg (0.3620, 0.4574, 0.7843)
Cd (0.7635, 0.5559, 0.6304)
Ga (0.0000, 0.0000, 0.0000)

Material: Nd5Sm2Tm3
Method: DFT, PBE
State: relaxed

Summary:
ρ: 7.4 g/cm3
density of states at the Fermi level: 36.35 states/eV per cell
energy of formation from the pure elements: 0.1836 eV per atom
space-group type: C2/c, No. 15

Cell lengths 9.9775, 10.0059, 11.2652 Å; angles 128.88, 128.82, 65.51 degrees
Element x y z (fractional)
Nd (0.6166, 0.8638, 0.2421)
Sm (0.7838, 0.0285, 0.7565)
Sm (0.5273, 0.2720, 0.2435)
Nd (0.3834, 0.1362, 0.7579)
Nd (0.8746, 0.6217, 0.7579)
Nd (0.2734, 0.5234, 0.0468)
Tm (0.2748, 0.5342, 0.7534)
Nd (0.9792, 0.2292, 0.4584)
Nd (0.5206, 0.2706, 0.5411)
Sm (0.4727, 0.7280, 0.7565)
Tm (0.7252, 0.4658, 0.2466)
Tm (0.0214, 0.7808, 0.2466)
Nd (0.4794, 0.7294, 0.4589)
Nd (0.7266, 0.4766, 0.9532)
Tm (0.9786, 0.2192, 0.7534)
Nd (0.0208, 0.7708, 0.5416)
Tm (0.7716, 0.0216, 0.0433)
Nd (0.1254, 0.3783, 0.2421)
Tm (0.2284, 0.9784, 0.9567)
Sm (0.2162, 0.9715, 0.2435)

Material: Zn3Ag12Sn
Method: DFT, PBE
State: relaxed

Summary:
ρ: 9.5 g/cm3
density of states at the Fermi level: 4.43 states/eV per cell
energy of formation from the pure elements: 0.0025 eV per atom
space-group type: P4/mmm, No. 123

Cell lengths 4.0890, 4.0890, 16.8974 Å; angles 90.00, 90.00, 90.00 degrees
Element x y z (fractional)
Ag (0.0000, 0.5000, 0.8652)
Ag (0.5000, 0.5000, 0.5000)
Ag (0.5000, 0.5000, 0.7434)
Ag (0.0000, 0.5000, 0.1348)
Ag (0.5000, 0.5000, 0.2566)
Sn (0.0000, 0.0000, 0.0000)
Ag (0.5000, 0.0000, 0.3786)
Zn (0.0000, 0.0000, 0.5000)
Ag (0.5000, 0.0000, 0.6214)
Ag (0.5000, 0.5000, 0.0000)
Zn (0.0000, 0.0000, 0.2556)
Ag (0.0000, 0.5000, 0.3786)
Zn (0.0000, 0.0000, 0.7444)
Ag (0.5000, 0.0000, 0.8652)
Ag (0.0000, 0.5000, 0.6214)
Ag (0.5000, 0.0000, 0.1348)

Which value of density of states at the Fermi level does entry 6 give?
3.86 states/eV per cell

Among the records above, which one has the highest ρ?
Cd5GaHg5

density of states at the Fermi level of number 2 (CoSn2TeI)?
5.05 states/eV per cell

Which of these has the lowest density of states at the Fermi level?
YAl2Cu